Arrangement P

The following is a DFT calculation (PBE) of an optimized crystal structure of SrInSe3.

Geometry as extended XYZ:
```
5
Lattice="5.895 0.000 0.000 0.000 5.895 0.000 0.000 0.000 5.895" Properties=species:S:1:pos:R:3 pbc="T T T"
Sr 0.000 0.000 0.000
Se 0.000 2.948 0.000
Se 0.000 0.000 2.948
Se 2.948 0.000 0.000
In 2.948 2.948 2.948
```

The total moment comes out at 3.000 μB/f.u. As for the calculated volume: 40.98 A^3/atom. Its space group is Pm-3m.



Arrangement Q

The following is a DFT calculation (PBE) of an optimized crystal structure of SrInSe3.

Geometry as extended XYZ:
```
5
Lattice="-5.241 0.778 -0.427 -0.820 -3.262 4.116 0.340 4.125 3.336" Properties=species:S:1:pos:R:3 pbc="T T T"
Sr -2.860 0.820 3.513
Se -0.410 -1.631 2.058
Se 0.170 2.062 1.668
Se -2.621 0.389 -0.214
In 0.000 0.000 0.000
```

The total moment comes out at 0.000 μB/f.u. As for the calculated volume: 30.04 A^3/atom. Its space group is Pm-3m.



Quick one: least stable of them? arrangement P



Arrangement P

The following is a DFT calculation (PBE) of an optimized crystal structure of Ta2InSe.

Geometry as extended XYZ:
```
4
Lattice="-0.089 0.968 5.526 4.848 -1.367 2.473 -2.741 3.285 -3.630" Properties=species:S:1:pos:R:3 pbc="T T T"
In -0.225 2.027 2.948
Se 2.243 0.859 1.421
Ta 0.125 -0.010 0.210
Ta 2.254 -0.189 3.790
```

The total moment comes out at 0.000 μB/f.u. As for the calculated volume: 19.51 A^3/atom. Its space group is Immm.



Arrangement Q

The following is a DFT calculation (PBE) of an optimized crystal structure of Ta2InSe.

Geometry as extended XYZ:
```
4
Lattice="5.041 -0.033 -0.211 3.988 3.083 -0.211 0.697 0.236 4.867" Properties=species:S:1:pos:R:3 pbc="T T T"
In 2.431 0.821 1.111
Se 7.294 2.464 3.334
Ta 9.684 3.271 4.423
Ta 4.905 1.657 2.244
```

The total moment comes out at 0.000 μB/f.u. As for the calculated volume: 19.20 A^3/atom. Its space group is C2/m.



Quick one: least stable of them? arrangement Q



Arrangement P

The following is a DFT calculation (PBE) of an optimized crystal structure of Ta2InSe.

Geometry as extended XYZ:
```
4
Lattice="-4.535 1.519 2.426 -4.412 -0.595 -2.991 4.130 -3.155 1.325" Properties=species:S:1:pos:R:3 pbc="T T T"
In -4.474 0.462 -0.282
Se -2.440 -0.587 1.735
Ta 0.000 0.000 0.000
Ta -2.378 -1.644 -0.974
```

The total moment comes out at 0.000 μB/f.u. As for the calculated volume: 19.05 A^3/atom. Its space group is I-4m2.



Arrangement Q

The following is a DFT calculation (PBE) of an optimized crystal structure of Ta2InSe.

Geometry as extended XYZ:
```
4
Lattice="-4.675 2.087 -1.111 -4.352 -0.521 -2.870 -3.154 -2.408 2.992" Properties=species:S:1:pos:R:3 pbc="T T T"
In -5.921 -0.317 -0.618
Se -9.281 -0.829 -0.475
Ta -3.135 -2.245 2.754
Ta -3.089 -0.280 -0.152
```

The total moment comes out at 0.000 μB/f.u. As for the calculated volume: 18.96 A^3/atom. Its space group is Cm.



Arrangement R

The following is a DFT calculation (PBE) of an optimized crystal structure of Ta2InSe.

Geometry as extended XYZ:
```
4
Lattice="9.097 0.002 0.001 8.560 3.080 0.001 8.560 1.494 2.693" Properties=species:S:1:pos:R:3 pbc="T T T"
In 6.554 1.144 0.674
Se 19.662 3.432 2.022
Ta 0.219 0.038 0.023
Ta 12.889 2.250 1.325
```

The total moment comes out at 0.000 μB/f.u. As for the calculated volume: 18.84 A^3/atom. Its space group is R-3m.



Quick one: least stable of them? arrangement P



Arrangement P

The following is a DFT calculation (PBE) of an optimized crystal structure of Ta2InSe.

Geometry as extended XYZ:
```
4
Lattice="-2.970 4.342 2.240 1.562 -3.903 3.208 2.146 1.498 1.679" Properties=species:S:1:pos:R:3 pbc="T T T"
In 1.854 -1.202 2.443
Se -0.704 0.219 2.724
Ta 0.000 0.000 0.000
Ta -0.412 2.920 1.959
```

The total moment comes out at 0.000 μB/f.u. As for the calculated volume: 19.06 A^3/atom. Its space group is C2/m.



Arrangement Q

The following is a DFT calculation (PBE) of an optimized crystal structure of Ta2InSe.

Geometry as extended XYZ:
```
4
Lattice="4.586 0.000 0.000 0.000 4.133 0.000 0.000 0.000 4.133" Properties=species:S:1:pos:R:3 pbc="T T T"
In 2.293 2.066 0.000
Se 2.293 0.000 2.066
Ta 0.000 0.000 0.000
Ta 0.000 2.066 2.066
```

The total moment comes out at 0.000 μB/f.u. As for the calculated volume: 19.58 A^3/atom. Its space group is P4/mmm.



Quick one: least stable of them? arrangement Q



Arrangement P

The following is a DFT calculation (PBE) of an optimized crystal structure of TaIn3Se.

Geometry as extended XYZ:
```
5
Lattice="5.225 0.000 0.000 0.000 5.225 0.000 0.000 0.000 5.225" Properties=species:S:1:pos:R:3 pbc="T T T"
In 0.000 2.612 0.000
In 0.000 0.000 2.612
In 2.612 0.000 0.000
Se 0.000 0.000 0.000
Ta 2.612 2.612 2.612
```

The total moment comes out at 0.000 μB/f.u. As for the calculated volume: 28.53 A^3/atom. Its space group is Pm-3m.



Arrangement Q

The following is a DFT calculation (PBE) of an optimized crystal structure of TaIn3Se.

Geometry as extended XYZ:
```
5
Lattice="5.487 0.000 0.000 0.000 5.487 0.000 0.000 0.000 5.487" Properties=species:S:1:pos:R:3 pbc="T T T"
In 0.000 2.744 0.000
In 0.000 0.000 2.744
In 2.744 0.000 0.000
Se 2.744 2.744 2.744
Ta 0.000 0.000 0.000
```

The total moment comes out at 2.602 μB/f.u. As for the calculated volume: 33.04 A^3/atom. Its space group is Pm-3m.



Quick one: least stable of them? arrangement P



Arrangement P

The following is a DFT calculation (PBE) of an optimized crystal structure of Ta3InSe.

Geometry as extended XYZ:
```
5
Lattice="-4.522 0.312 1.425 -1.449 -0.417 -4.506 -0.171 -4.723 0.492" Properties=species:S:1:pos:R:3 pbc="T T T"
In -3.071 -2.413 -1.294
Se 0.000 0.000 0.000
Ta -0.724 -0.208 -2.253
Ta -0.086 -2.361 0.246
Ta -2.261 0.156 0.713
```

The total moment comes out at 0.000 μB/f.u. As for the calculated volume: 21.45 A^3/atom. Its space group is Pm-3m.



Arrangement Q

The following is a DFT calculation (PBE) of an optimized crystal structure of Ta3InSe.

Geometry as extended XYZ:
```
5
Lattice="-0.887 -4.444 -2.200 4.913 -1.090 0.220 -0.670 -2.107 4.526" Properties=species:S:1:pos:R:3 pbc="T T T"
In 0.000 0.000 0.000
Se 1.678 -3.820 1.273
Ta 2.457 -0.545 0.110
Ta -0.335 -1.053 2.263
Ta -0.444 -2.222 -1.100
```

The total moment comes out at 1.164 μB/f.u. As for the calculated volume: 25.56 A^3/atom. Its space group is Pm-3m.



Quick one: least stable of them? arrangement Q



Arrangement P

The following is a DFT calculation (PBE) of an optimized crystal structure of YTaInSe2.

Geometry as extended XYZ:
```
5
Lattice="5.397 0.000 0.000 0.000 5.823 0.000 0.000 0.000 5.397" Properties=species:S:1:pos:R:3 pbc="T T T"
Y 0.000 0.000 0.000
In 2.698 2.911 2.698
Se 0.000 0.000 2.698
Se 2.698 0.000 0.000
Ta 0.000 2.911 0.000
```

The total moment comes out at 3.340 μB/f.u. As for the calculated volume: 33.92 A^3/atom. Its space group is P4/mmm.



Arrangement Q

The following is a DFT calculation (PBE) of an optimized crystal structure of YTaInSe2.

Geometry as extended XYZ:
```
5
Lattice="5.188 0.000 0.000 0.000 5.645 0.000 0.000 0.000 5.188" Properties=species:S:1:pos:R:3 pbc="T T T"
Y 0.000 2.823 0.000
In 0.000 0.000 0.000
Se 0.000 0.000 2.594
Se 2.594 0.000 0.000
Ta 2.594 2.823 2.594
```

The total moment comes out at 2.978 μB/f.u. As for the calculated volume: 30.39 A^3/atom. Its space group is P4/mmm.



Quick one: least stable of them? arrangement Q



Arrangement P

The following is a DFT calculation (PBE) of an optimized crystal structure of Tb2InSe.

Geometry as extended XYZ:
```
4
Lattice="-1.487 0.474 -3.146 -3.103 -0.985 1.318 -1.621 7.685 1.924" Properties=species:S:1:pos:R:3 pbc="T T T"
Tb -1.252 5.934 1.486
Tb -0.370 1.752 0.439
Se -2.295 -0.255 -0.914
In -3.106 3.587 0.048
```

The total moment comes out at 0.001 μB/f.u. As for the calculated volume: 24.94 A^3/atom. Its space group is P4/mmm.



Arrangement Q

The following is a DFT calculation (PBE) of an optimized crystal structure of Tb2InSe.

Geometry as extended XYZ:
```
4
Lattice="-2.700 0.110 2.804 -3.369 -1.898 -0.465 1.310 -7.362 4.255" Properties=species:S:1:pos:R:3 pbc="T T T"
Tb 0.602 -5.924 3.517
Tb -1.311 -2.041 1.522
In -2.376 -4.582 3.301
Se -2.743 -8.538 5.807
```

The total moment comes out at 0.000 μB/f.u. As for the calculated volume: 27.27 A^3/atom. Its space group is R3m.



Quick one: least stable of them? arrangement P